Material: Eu2YMg
Method: DFT, GGA-PBE
State: optimized geometry

Computed properties:
Magnetization, μB per atom: 3.867
Energy relative to the lowest polymorph listed for this composition, meV per atom: 36
Energy relative to the elements, eV/atom: 0.07
Space group: P4/mmm, No. 123
DOS(E_F), states/eV/f.u.: 6.007

a b c (Å): 5.107 5.107 5.211
angles (deg): 90.00 90.00 90.00
Atoms (fractional coordinates):
Eu: 0.000 0.500 0.000
Eu: 0.500 0.000 0.000
Y: 0.000 0.000 0.500
Mg: 0.500 0.500 0.500